# Zr3ScAl2

Crystalline Zr3ScAl2 at its relaxed geometry (PBE, the Alexandria database).

Computed properties:
- electronic total energy (eV/cell) = -165.01
- DFT formation energy (eV/atom) = -0.299

Unit cell a=10.380 b=3.193 c=15.137 alpha=90.00 beta=90.00 gamma=90.00
Space group Pnma (No. 62)
Asymmetric unit:
Zr 0.023 0.250 0.087 [4 per cell]
Zr 0.164 0.750 0.752 [4 per cell]
Zr 0.221 0.250 0.578 [4 per cell]
Sc 0.043 0.250 0.408 [4 per cell]
Al 0.095 0.750 0.245 [4 per cell]
Al 0.213 0.250 0.920 [4 per cell]

# KCuIF2

Crystalline KCuIF2 at its relaxed geometry (PBE, the Alexandria database).

Computed properties:
- electronic total energy (eV/cell) = -17.96
- energy relative to the elements, uncorrected (meV/atom) = -1494

Unit cell a=3.968 b=3.968 c=7.183 alpha=90.00 beta=90.00 gamma=90.00
Space group P4mm (No. 99)
Asymmetric unit:
K 0.000 0.000 0.000 [1 per cell]
Cu 0.500 0.500 0.311 [1 per cell]
I 0.500 0.500 0.684 [1 per cell]
F 0.000 0.500 0.237 [2 per cell]

# Pm5HoGa6

Crystalline Pm5HoGa6 at its relaxed geometry (PBE, the Alexandria database).

Computed properties:
- electronic total energy (eV/cell) = -106.65
- DFT formation energy (eV/atom) = -0.569

Unit cell a=5.157 b=15.488 c=7.295 alpha=90.00 beta=90.00 gamma=90.00
Space group Cmmm (No. 65)
Asymmetric unit:
Pm 0.000 0.000 0.000 [2 per cell]
Pm 0.000 0.331 0.000 [4 per cell]
Pm 0.000 0.334 0.500 [4 per cell]
Ho 0.000 0.000 0.500 [2 per cell]
Ga 0.000 0.164 0.255 [8 per cell]
Ga 0.000 0.500 0.253 [4 per cell]

# LiFe2Ir

Crystalline LiFe2Ir at its relaxed geometry (PBE, the Alexandria database).

Computed properties:
- electronic total energy (eV/cell) = -54.74
- DFT formation energy (eV/atom) = 0.082

Unit cell a=2.836 b=4.107 c=8.492 alpha=90.00 beta=90.00 gamma=90.00
Space group Immm (No. 71)
Asymmetric unit:
Li 0.000 0.000 0.000 [2 per cell]
Fe 0.000 0.500 0.246 [4 per cell]
Ir 0.000 0.000 0.500 [2 per cell]

# Cd2In3Cl7

Crystalline Cd2In3Cl7 at its relaxed geometry (PBE, the Alexandria database).

Computed properties:
- electronic total energy (eV/cell) = -67.30
- energy relative to the elements, uncorrected (meV/atom) = -890

Unit cell a=5.326 b=25.608 c=5.194 alpha=90.00 beta=90.00 gamma=90.00
Space group Cmmm (No. 65)
Asymmetric unit:
Cd 0.000 0.104 0.000 [4 per cell]
In 0.000 0.318 0.500 [4 per cell]
In 0.000 0.500 0.500 [2 per cell]
Cl 0.000 0.000 0.000 [2 per cell]
Cl 0.000 0.098 0.500 [4 per cell]
Cl 0.000 0.202 0.000 [4 per cell]
Cl 0.000 0.401 0.000 [4 per cell]

# Hf2TaS

Crystalline Hf2TaS at its relaxed geometry (PBE, the Alexandria database).

Computed properties:
- electronic total energy (eV/cell) = -113.63
- energy relative to the elements, uncorrected (meV/atom) = -498

Unit cell a=3.2644 b=3.2644 c=25.0418 alpha=90.00 beta=90.00 gamma=120.00
Space group R3m (No. 160, hexagonal axes)
Asymmetric unit:
Hf 0.0000 0.0000 0.0000 [3 per cell]
Hf 0.0000 0.0000 0.1867 [3 per cell]
Ta 0.0000 0.0000 0.4262 [3 per cell]
S 0.0000 0.0000 0.5947 [3 per cell]

# HoSnSb

Crystalline HoSnSb at its relaxed geometry (PBE, the Alexandria database).

Computed properties:
- electronic total energy (eV/cell) = -57.14
- energy relative to the elements, uncorrected (meV/atom) = -527

Unit cell a=5.472 b=6.221 c=9.566 alpha=90.00 beta=90.00 gamma=90.00
Space group Immm (No. 71)
Asymmetric unit:
Ho 0.000 0.000 0.200 [4 per cell]
Sn 0.000 0.267 0.500 [4 per cell]
Sb 0.000 0.500 0.156 [4 per cell]

# SrSbO2

Crystalline SrSbO2 at its relaxed geometry (PBE, the Alexandria database).

Computed properties:
- electronic total energy (eV/cell) = -86.49
- energy relative to the elements, uncorrected (meV/atom) = -1476

Unit cell a=5.229 b=5.229 c=12.231 alpha=90.00 beta=90.00 gamma=90.00
Space group I-42d (No. 122)
Asymmetric unit:
Sr 0.000 0.000 0.000 [4 per cell]
Sb 0.000 0.000 0.500 [4 per cell]
O 0.222 0.250 0.625 [8 per cell]